{"formula": "BaMg4Tl2Cd", "functional": "GGA-PBE", "state": "optimized geometry", "total_energy_ev_per_atom": -1.8597, "delta_e_f_ev_per_atom": -0.12, "crystal_system": "trigonal", "space_group": "R-3m (166)", "cell": [[-1.4415, -4.2010, 2.4332], [1.9785, -4.4793, -1.2914], [7.5456, -1.5610, 7.0452]], "species": ["Ba", "Mg", "Mg", "Mg", "Mg", "Tl", "Tl", "Cd"], "fractional_positions": [[0.0000, 0.0000, 0.0000], [0.1335, 0.1335, 0.5995], [0.4058, 0.4058, 0.7825], [0.8665, 0.8665, 0.4005], [0.5942, 0.5942, 0.2175], [0.7501, 0.7501, 0.7497], [0.2499, 0.2499, 0.2503], [0.5000, 0.5000, 0.5000]]}

{"formula": "BaMgTl2Cd", "functional": "GGA-PBE", "state": "optimized geometry", "total_energy_ev_per_atom": -2.0935, "delta_e_f_ev_per_atom": -0.26, "crystal_system": "tetragonal", "space_group": "I-4m2 (119)", "cell": [[4.9098, 0.0000, 0.0000], [0.0000, 4.9098, 0.0000], [-2.4549, -2.4549, 6.4303]], "species": ["Mg", "Tl", "Tl", "Cd", "Ba"], "fractional_positions": [[0.7500, 0.2500, 0.5000], [0.3824, 0.3824, 0.7648], [0.6176, 0.6176, 0.2352], [0.2500, 0.7500, 0.5000], [0.0000, 0.0000, 0.0000]]}

{"formula": "Ba2Mg3TlCd12", "functional": "GGA-PBE", "state": "optimized geometry", "total_energy_ev_per_atom": -1.2746, "delta_e_f_ev_per_atom": -0.05, "crystal_system": "trigonal", "space_group": "R-3m (166)", "cell": [[12.3628, 3.1742, 2.2514], [8.8655, 9.1825, 2.2514], [8.8655, 5.1605, 7.9219]], "species": ["Cd", "Cd", "Cd", "Cd", "Cd", "Cd", "Cd", "Cd", "Cd", "Cd", "Cd", "Cd", "Ba", "Ba", "Mg", "Mg", "Mg", "Tl"], "fractional_positions": [[0.5893, 0.1696, 0.5893], [0.8943, 0.4012, 0.8943], [0.4012, 0.8943, 0.8943], [0.4107, 0.8304, 0.4107], [0.1057, 0.1057, 0.5988], [0.1696, 0.5893, 0.5893], [0.8943, 0.8943, 0.4012], [0.4107, 0.4107, 0.8304], [0.5988, 0.1057, 0.1057], [0.8304, 0.4107, 0.4107], [0.5893, 0.5893, 0.1696], [0.1057, 0.5988, 0.1057], [0.3580, 0.3580, 0.3580], [0.6420, 0.6420, 0.6420], [0.5000, 0.0000, 0.0000], [0.0000, 0.0000, 0.5000], [0.0000, 0.5000, 0.0000], [0.0000, 0.0000, 0.0000]]}

{"formula": "BaMgTl2Cd", "functional": "GGA-PBE", "state": "optimized geometry", "total_energy_ev_per_atom": -1.9041, "delta_e_f_ev_per_atom": -0.07, "crystal_system": "tetragonal", "space_group": "P4/mmm (123)", "cell": [[-4.1823, 2.8699, -2.2998], [-3.5822, -3.9675, 1.5635], [-0.8203, 2.6141, 4.7539]], "species": ["Cd", "Mg", "Tl", "Tl", "Ba"], "fractional_positions": [[0.0000, 0.0000, 0.5000], [0.0000, 0.0000, 0.0000], [0.5000, 0.0000, 0.0000], [0.0000, 0.5000, 0.0000], [0.5000, 0.5000, 0.5000]]}